1 | VASP calculation (GGA-PBE) on a geometry-optimized KLi2Tc structure.

```
data_KLi2Tc
_chemical_formula_sum 'K1 Li2 Tc1'
_cell_length_a 2.6928
_cell_length_b 5.5708
_cell_length_c 5.8397
_cell_angle_alpha 90.00
_cell_angle_beta 90.00
_cell_angle_gamma 90.00
_symmetry_space_group_name_H-M 'P m m m'
_symmetry_Int_Tables_number 47
_symmetry_space_group_name_Hall '-P 2 2'
loop_
_atom_site_label
_atom_site_type_symbol
_atom_site_fract_x
_atom_site_fract_y
_atom_site_fract_z
_atom_site_occupancy
K1 K 0.0000 0.0000 0.0000 1
Li1 Li 0.0000 0.5000 0.5000 1
Li2 Li 0.5000 0.5000 0.0000 1
Tc1 Tc 0.5000 0.0000 0.5000 1
```

Summary:
N(E_F) = 0.82 states/eV per atom

***

2 | VASP calculation (GGA-PBE) on a geometry-optimized KLi2Tc structure.

```
data_KLi2Tc
_chemical_formula_sum 'K2 Li4 Tc2'
_cell_length_a 3.8521
_cell_length_b 3.8646
_cell_length_c 10.9726
_cell_angle_alpha 90.00
_cell_angle_beta 90.00
_cell_angle_gamma 90.00
_symmetry_space_group_name_H-M 'C m m m'
_symmetry_Int_Tables_number 65
_symmetry_space_group_name_Hall '-C 2 2'
loop_
_atom_site_label
_atom_site_type_symbol
_atom_site_fract_x
_atom_site_fract_y
_atom_site_fract_z
_atom_site_occupancy
K1 K 0.0000 0.0000 0.0000 1
Li1 Li 0.0000 0.5000 0.3097 1
Tc1 Tc 0.0000 0.0000 0.5000 1
```

Summary:
N(E_F) = 0.72 states/eV per atom

***

Energies, relative to the best one, in meV/atom: 1 339; 2 0.

***

1 | VASP calculation (GGA-PBE) on a geometry-optimized BC2 structure.

```
data_BC2
_chemical_formula_sum 'B8 C16'
_cell_length_a 11.7912
_cell_length_b 2.5912
_cell_length_c 5.2744
_cell_angle_alpha 90.00
_cell_angle_beta 100.83
_cell_angle_gamma 90.00
_symmetry_space_group_name_H-M 'C 1 m 1'
_symmetry_Int_Tables_number 8
_symmetry_space_group_name_Hall 'C -2y'
loop_
_atom_site_label
_atom_site_type_symbol
_atom_site_fract_x
_atom_site_fract_y
_atom_site_fract_z
_atom_site_occupancy
B1 B 0.0000 0.0000 0.0000 1
B2 B 0.0674 0.5000 0.4639 1
B3 B 0.1903 0.5000 0.9133 1
B4 B 0.3316 0.0000 0.6696 1
C1 C 0.0889 0.5000 0.0648 1
C2 C 0.1797 0.5000 0.3399 1
C3 C 0.2539 0.0000 0.3814 1
C4 C 0.2599 0.0000 0.8974 1
C5 C 0.3370 0.0000 0.1772 1
C6 C 0.4124 0.5000 0.2123 1
C7 C 0.4310 0.5000 0.7085 1
C8 C 0.4933 0.5000 0.4879 1
```

Summary:
N(E_F) = 0.18 states/eV per atom

***

2 | VASP calculation (GGA-PBE) on a geometry-optimized BC2 structure.

```
data_BC2
_chemical_formula_sum 'B4 C8'
_cell_length_a 4.4410
_cell_length_b 4.5864
_cell_length_c 4.5869
_cell_angle_alpha 60.38
_cell_angle_beta 70.25
_cell_angle_gamma 77.07
_symmetry_space_group_name_H-M 'P 1'
_symmetry_Int_Tables_number 1
_symmetry_space_group_name_Hall 'P 1'
loop_
_atom_site_label
_atom_site_type_symbol
_atom_site_fract_x
_atom_site_fract_y
_atom_site_fract_z
_atom_site_occupancy
B1 B 0.0000 0.0000 0.0000 1
B2 B 0.0126 0.7031 0.6303 1
B3 B 0.4089 0.0872 0.7888 1
B4 B 0.4747 0.6926 0.1516 1
C1 C 0.0044 0.3610 0.3009 1
C2 C 0.3772 0.3629 0.1686 1
C3 C 0.4028 0.7154 0.5189 1
C4 C 0.5159 0.0479 0.4409 1
C5 C 0.5262 0.3898 0.7920 1
C6 C 0.8735 0.6912 0.0290 1
C7 C 0.8787 0.0436 0.3493 1
C8 C 0.9049 0.3670 0.6641 1
```

Summary:
N(E_F) = 0.25 states/eV per atom

***

Energies, relative to the best one, in meV/atom: 1 0; 2 39.

***

1 | VASP calculation (GGA-PBE) on a geometry-optimized TaTl2Mo structure.

```
data_TaTl2Mo
_chemical_formula_sum 'Ta2 Tl4 Mo2'
_cell_length_a 3.3372
_cell_length_b 4.9975
_cell_length_c 9.6809
_cell_angle_alpha 90.00
_cell_angle_beta 90.00
_cell_angle_gamma 90.00
_symmetry_space_group_name_H-M 'I m m m'
_symmetry_Int_Tables_number 71
_symmetry_space_group_name_Hall '-I 2 2'
loop_
_atom_site_label
_atom_site_type_symbol
_atom_site_fract_x
_atom_site_fract_y
_atom_site_fract_z
_atom_site_occupancy
Ta1 Ta 0.0000 0.0000 0.0000 1
Tl1 Tl 0.0000 0.5000 0.2451 1
Mo1 Mo 0.0000 0.0000 0.5000 1
```

Summary:
N(E_F) = 0.63 states/eV per atom

***

2 | VASP calculation (GGA-PBE) on a geometry-optimized TaTl2Mo structure.

```
data_TaTl2Mo
_chemical_formula_sum 'Ta2 Tl4 Mo2'
_cell_length_a 10.3761
_cell_length_b 2.9627
_cell_length_c 5.2924
_cell_angle_alpha 90.00
_cell_angle_beta 94.27
_cell_angle_gamma 90.00
_symmetry_space_group_name_H-M 'C 1 m 1'
_symmetry_Int_Tables_number 8
_symmetry_space_group_name_Hall 'C -2y'
loop_
_atom_site_label
_atom_site_type_symbol
_atom_site_fract_x
_atom_site_fract_y
_atom_site_fract_z
_atom_site_occupancy
Ta1 Ta 0.0000 0.0000 0.0000 1
Tl1 Tl 0.0020 0.5000 0.5158 1
Tl2 Tl 0.2481 0.5000 0.2676 1
Mo1 Mo 0.2444 0.0000 0.7842 1
```

Summary:
N(E_F) = 0.44 states/eV per atom

***

Energies, relative to the best one, in meV/atom: 1 0; 2 24.

***

1 | VASP calculation (GGA-PBE) on a geometry-optimized TaAgPb2 structure.

```
data_TaAgPb2
_chemical_formula_sum 'Ta2 Ag2 Pb4'
_cell_length_a 3.5866
_cell_length_b 5.2600
_cell_length_c 9.7054
_cell_angle_alpha 90.00
_cell_angle_beta 90.00
_cell_angle_gamma 90.00
_symmetry_space_group_name_H-M 'I m m m'
_symmetry_Int_Tables_number 71
_symmetry_space_group_name_Hall '-I 2 2'
loop_
_atom_site_label
_atom_site_type_symbol
_atom_site_fract_x
_atom_site_fract_y
_atom_site_fract_z
_atom_site_occupancy
Ta1 Ta 0.0000 0.0000 0.0000 1
Ag1 Ag 0.0000 0.0000 0.5000 1
Pb1 Pb 0.0000 0.5000 0.2499 1
```

Summary:
N(E_F) = 0.82 states/eV per atom

***

2 | VASP calculation (GGA-PBE) on a geometry-optimized TaAgPb2 structure.

```
data_TaAgPb2
_chemical_formula_sum 'Ta1 Ag1 Pb2'
_cell_length_a 3.1253
_cell_length_b 3.1253
_cell_length_c 9.9546
_cell_angle_alpha 90.00
_cell_angle_beta 90.00
_cell_angle_gamma 90.00
_symmetry_space_group_name_H-M 'P 4 m m'
_symmetry_Int_Tables_number 99
_symmetry_space_group_name_Hall 'P 4 -2'
loop_
_atom_site_label
_atom_site_type_symbol
_atom_site_fract_x
_atom_site_fract_y
_atom_site_fract_z
_atom_site_occupancy
Ta1 Ta 0.0000 0.0000 0.0000 1
Ag1 Ag 0.5000 0.5000 0.1875 1
Pb1 Pb 0.0000 0.0000 0.4158 1
Pb2 Pb 0.5000 0.5000 0.7647 1
```

Summary:
N(E_F) = 0.37 states/eV per atom

***

Energies, relative to the best one, in meV/atom: 1 335; 2 0.

***

1 | VASP calculation (GGA-PBE) on a geometry-optimized NiIr2Ru structure.

```
data_NiIr2Ru
_chemical_formula_sum 'Ni2 Ir4 Ru2'
_cell_length_a 3.7616
_cell_length_b 3.7616
_cell_length_c 7.6773
_cell_angle_alpha 90.00
_cell_angle_beta 90.00
_cell_angle_gamma 90.00
_symmetry_space_group_name_H-M 'I -4 m 2'
_symmetry_Int_Tables_number 119
_symmetry_space_group_name_Hall 'I -4 -2'
loop_
_atom_site_label
_atom_site_type_symbol
_atom_site_fract_x
_atom_site_fract_y
_atom_site_fract_z
_atom_site_occupancy
Ni1 Ni 0.0000 0.0000 0.0000 1
Ir1 Ir 0.0000 0.0000 0.5000 1
Ir2 Ir 0.0000 0.5000 0.2500 1
Ru1 Ru 0.0000 0.5000 0.7500 1
```

Summary:
N(E_F) = 1.46 states/eV per atom

***

2 | VASP calculation (GGA-PBE) on a geometry-optimized NiIr2Ru structure.

```
data_NiIr2Ru
_chemical_formula_sum 'Ni4 Ir8 Ru4'
_cell_length_a 7.4970
_cell_length_b 7.6523
_cell_length_c 3.7895
_cell_angle_alpha 90.00
_cell_angle_beta 90.00
_cell_angle_gamma 90.00
_symmetry_space_group_name_H-M 'C m c m'
_symmetry_Int_Tables_number 63
_symmetry_space_group_name_Hall '-C 2c 2'
loop_
_atom_site_label
_atom_site_type_symbol
_atom_site_fract_x
_atom_site_fract_y
_atom_site_fract_z
_atom_site_occupancy
Ni1 Ni 0.0000 0.1253 0.2500 1
Ir1 Ir 0.2463 0.1255 0.7500 1
Ru1 Ru 0.0000 0.3800 0.7500 1
```

Summary:
N(E_F) = 0.95 states/eV per atom

***

Energies, relative to the best one, in meV/atom: 1 37; 2 0.

***

1 | VASP calculation (GGA-PBE) on a geometry-optimized TcCl3 structure.

```
data_TcCl3
_chemical_formula_sum 'Tc1 Cl3'
_cell_length_a 4.1346
_cell_length_b 4.1346
_cell_length_c 6.2771
_cell_angle_alpha 90.00
_cell_angle_beta 90.00
_cell_angle_gamma 90.00
_symmetry_space_group_name_H-M 'P 4 m m'
_symmetry_Int_Tables_number 99
_symmetry_space_group_name_Hall 'P 4 -2'
loop_
_atom_site_label
_atom_site_type_symbol
_atom_site_fract_x
_atom_site_fract_y
_atom_site_fract_z
_atom_site_occupancy
Tc1 Tc 0.0000 0.0000 0.0000 1
Cl1 Cl 0.0000 0.5000 0.8179 1
Cl2 Cl 0.5000 0.5000 0.2420 1
```

Summary:
N(E_F) = 0.39 states/eV per atom

***

2 | VASP calculation (GGA-PBE) on a geometry-optimized TcCl3 structure.

```
data_TcCl3
_chemical_formula_sum 'Tc4 Cl12'
_cell_length_a 6.8967
_cell_length_b 6.8967
_cell_length_c 8.5162
_cell_angle_alpha 90.00
_cell_angle_beta 90.00
_cell_angle_gamma 90.00
_symmetry_space_group_name_H-M 'I -4 2 d'
_symmetry_Int_Tables_number 122
_symmetry_space_group_name_Hall 'I -4 2bw'
loop_
_atom_site_label
_atom_site_type_symbol
_atom_site_fract_x
_atom_site_fract_y
_atom_site_fract_z
_atom_site_occupancy
Tc1 Tc 0.0000 0.0000 0.0000 1
Cl1 Cl 0.0000 0.0000 0.5000 1
Cl2 Cl 0.1438 0.2500 0.1250 1
```

Summary:
N(E_F) = 0.59 states/eV per atom

***

Energies, relative to the best one, in meV/atom: 1 19; 2 0.

***

1 | VASP calculation (GGA-PBE) on a geometry-optimized Tl2CdP structure.

```
data_Tl2CdP
_chemical_formula_sum 'Tl4 Cd2 P2'
_cell_length_a 6.8955
_cell_length_b 8.9369
_cell_length_c 3.2713
_cell_angle_alpha 90.00
_cell_angle_beta 90.36
_cell_angle_gamma 90.00
_symmetry_space_group_name_H-M 'C 1 2/m 1'
_symmetry_Int_Tables_number 12
_symmetry_space_group_name_Hall '-C 2y'
loop_
_atom_site_label
_atom_site_type_symbol
_atom_site_fract_x
_atom_site_fract_y
_atom_site_fract_z
_atom_site_occupancy
Tl1 Tl 0.2500 0.2500 0.0000 1
Cd1 Cd 0.0000 0.0000 0.5000 1
P1 P 0.0000 0.5000 0.5000 1
```

Summary:
N(E_F) = 0.40 states/eV per atom

***

2 | VASP calculation (GGA-PBE) on a geometry-optimized Tl2CdP structure.

```
data_Tl2CdP
_chemical_formula_sum 'Tl6 Cd3 P3'
_cell_length_a 4.2553
_cell_length_b 4.2553
_cell_length_c 21.8134
_cell_angle_alpha 90.00
_cell_angle_beta 90.00
_cell_angle_gamma 120.00
_symmetry_space_group_name_H-M 'R 3 m'
_symmetry_Int_Tables_number 160
_symmetry_space_group_name_Hall 'R 3 -2"'
loop_
_atom_site_label
_atom_site_type_symbol
_atom_site_fract_x
_atom_site_fract_y
_atom_site_fract_z
_atom_site_occupancy
Tl1 Tl 0.0000 0.0000 0.0000 1
Tl2 Tl 0.0000 0.0000 0.2151 1
Cd1 Cd 0.0000 0.0000 0.7593 1
P1 P 0.0000 0.0000 0.4680 1
```

Summary:
N(E_F) = 0.50 states/eV per atom

***

Energies, relative to the best one, in meV/atom: 1 232; 2 0.

***

1 | VASP calculation (GGA-PBE) on a geometry-optimized Zr2HgN structure.

```
data_Zr2HgN
_chemical_formula_sum 'Zr6 Hg3 N3'
_cell_length_a 3.3436
_cell_length_b 3.3436
_cell_length_c 21.8544
_cell_angle_alpha 90.00
_cell_angle_beta 90.00
_cell_angle_gamma 120.00
_symmetry_space_group_name_H-M 'R -3 m'
_symmetry_Int_Tables_number 166
_symmetry_space_group_name_Hall '-R 3 2"'
loop_
_atom_site_label
_atom_site_type_symbol
_atom_site_fract_x
_atom_site_fract_y
_atom_site_fract_z
_atom_site_occupancy
Zr1 Zr 0.0000 0.0000 0.2222 1
Hg1 Hg 0.0000 0.0000 0.0000 1
N1 N 0.0000 0.0000 0.5000 1
```

Summary:
N(E_F) = 0.48 states/eV per atom

***

2 | VASP calculation (GGA-PBE) on a geometry-optimized Zr2HgN structure.

```
data_Zr2HgN
_chemical_formula_sum 'Zr4 Hg2 N2'
_cell_length_a 3.2939
_cell_length_b 4.5821
_cell_length_c 9.2825
_cell_angle_alpha 90.00
_cell_angle_beta 90.00
_cell_angle_gamma 90.00
_symmetry_space_group_name_H-M 'P m m n'
_symmetry_Int_Tables_number 59
loop_
_symmetry_equiv_pos_as_xyz
'x,y,z'
'-x,-y,-z'
'-x+1/2,-y+1/2,z'
'x+1/2,y+1/2,-z'
'x+1/2,-y,-z'
'-x+1/2,y,z'
'-x,y+1/2,-z'
'x,-y+1/2,z'
loop_
_atom_site_label
_atom_site_type_symbol
_atom_site_fract_x
_atom_site_fract_y
_atom_site_fract_z
_atom_site_occupancy
Zr1 Zr 0.2500 0.2500 0.0750 1
Zr2 Zr 0.2500 0.2500 0.7400 1
Hg1 Hg 0.2500 0.2500 0.4073 1
N1 N 0.2500 0.7500 0.0969 1
```

Summary:
N(E_F) = 0.52 states/eV per atom

***

Energies, relative to the best one, in meV/atom: 1 0; 2 62.

***

1 | VASP calculation (GGA-PBE) on a geometry-optimized MoC2 structure.

```
data_MoC2
_chemical_formula_sum 'Mo4 C8'
_cell_length_a 7.5631
_cell_length_b 2.7595
_cell_length_c 6.0472
_cell_angle_alpha 90.00
_cell_angle_beta 103.64
_cell_angle_gamma 90.00
_symmetry_space_group_name_H-M 'C 1 m 1'
_symmetry_Int_Tables_number 8
_symmetry_space_group_name_Hall 'C -2y'
loop_
_atom_site_label
_atom_site_type_symbol
_atom_site_fract_x
_atom_site_fract_y
_atom_site_fract_z
_atom_site_occupancy
Mo1 Mo 0.0000 0.0000 0.0000 1
Mo2 Mo 0.2139 0.0000 0.6604 1
C1 C 0.0034 0.5000 0.7398 1
C2 C 0.2308 0.5000 0.4132 1
C3 C 0.2545 0.5000 0.1888 1
C4 C 0.2851 0.0000 0.0668 1
```

Summary:
N(E_F) = 0.41 states/eV per atom

***

2 | VASP calculation (GGA-PBE) on a geometry-optimized MoC2 structure.

```
data_MoC2
_chemical_formula_sum 'Mo4 C8'
_cell_length_a 5.0409
_cell_length_b 6.3343
_cell_length_c 4.3280
_cell_angle_alpha 90.00
_cell_angle_beta 90.00
_cell_angle_gamma 90.00
_symmetry_space_group_name_H-M 'C m c m'
_symmetry_Int_Tables_number 63
_symmetry_space_group_name_Hall '-C 2c 2'
loop_
_atom_site_label
_atom_site_type_symbol
_atom_site_fract_x
_atom_site_fract_y
_atom_site_fract_z
_atom_site_occupancy
Mo1 Mo 0.0000 0.1437 0.2500 1
C1 C 0.1370 0.1936 0.7500 1
```

Summary:
N(E_F) = 0.38 states/eV per atom

***

Energies, relative to the best one, in meV/atom: 1 0; 2 265.